Entry 1:
Computed, not measured: crystalline Tm5HgPb6 at its relaxed geometry at the PBE level of DFT.

Cell lengths 4.9113, 9.0008, 9.0564 Å; angles 119.80, 105.73, 90.00 degrees
Fractional positions:
Pb 0.1711 0.4276 0.3422
Pb 0.5000 0.7295 0.0000
Pb 0.5000 0.2705 0.0000
Pb 0.8289 0.0854 0.6578
Pb 0.1711 0.9146 0.3422
Pb 0.8289 0.5724 0.6578
Tm 0.3264 0.3264 0.6528
Tm 0.3601 0.8601 0.7202
Tm 0.6736 0.6736 0.3472
Tm 0.0000 0.5000 0.0000
Tm 0.6399 0.1399 0.2798
Hg 0.0000 0.0000 0.0000

Total DFT energy (no corrections) ... -49.03 eV/cell
Energy of formation from the pure elements ... -343.6 meV per atom
Calculated volume ... 27.50 Å³/atom
Mass density ... 11.51 Mg/m³
M_tot ... 0.00 μB per formula unit

Entry 2:
Computed, not measured: crystalline TmHgPb2 at its relaxed geometry at the PBE level of DFT.

Cell lengths 3.5389, 3.5389, 11.3858 Å; angles 81.06, 81.06, 60.00 degrees
Fractional positions:
Tm 0.0000 0.0000 0.0000
Hg 0.5000 0.5000 0.5000
Pb 0.9078 0.9078 0.2765
Pb 0.0922 0.0922 0.7235

Total DFT energy (no corrections) ... -11.72 eV/cell
Energy of formation from the pure elements ... 118.5 meV per atom
Calculated volume ... 30.37 Å³/atom
Mass density ... 10.71 Mg/m³
M_tot ... 0.00 μB per formula unit

Entry 3:
Computed, not measured: crystalline Tm3HgPb2 at its relaxed geometry at the PBE level of DFT.

Cell lengths 6.3011, 6.5075, 8.6920 Å; angles 101.57, 111.25, 90.00 degrees
Fractional positions:
Pb 0.4413 0.4366 0.6745
Pb 0.5587 0.5634 0.3255
Pb 0.2332 0.9366 0.6745
Pb 0.7668 0.0634 0.3255
Tm 0.2721 0.0905 0.3324
Tm 0.3710 0.7500 0.0000
Tm 0.7279 0.9095 0.6676
Tm 0.6290 0.2500 0.0000
Tm 0.0603 0.5905 0.3324
Tm 0.9397 0.4095 0.6676
Hg 0.8860 0.7500 0.0000
Hg 0.1140 0.2500 0.0000

Total DFT energy (no corrections) ... -46.68 eV/cell
Energy of formation from the pure elements ... -367.9 meV per atom
Calculated volume ... 27.03 Å³/atom
Mass density ... 11.48 Mg/m³
M_tot ... 0.00 μB per formula unit

- The lowest total DFT energy (no corrections) belongs to which entry?
  Tm5HgPb6